Version a
A plane-wave DFT calculation with PBE-GGA was carried out for crystalline ScPCl2F at its relaxed geometry.

abc: 5.128 5.128 3.689
angles: 90.00 90.00 90.00
Atoms (fractional coordinates):
Cl1 0.500 0.000 0.000
F1 0.000 0.000 0.000
Cl2 0.000 0.500 0.000
P1 0.000 0.000 0.500
Sc1 0.500 0.500 0.500

Summary:
Mass density (g/cm³): 2.8

***

Version b
A plane-wave DFT calculation with PBE-GGA was carried out for crystalline ScPCl2F at its relaxed geometry.

abc: 4.811 4.811 5.481
angles: 90.00 90.00 90.00
Atoms (fractional coordinates):
Cl1 0.500 0.000 0.000
F1 0.500 0.500 0.500
P1 0.000 0.000 0.500
Cl2 0.000 0.500 0.000
Sc1 0.000 0.000 0.000

Summary:
Mass density (g/cm³): 2.2

***

Computed energies relative to the best structure, in meV/atom: version a 346; version b 0